Material: MnVFeAs
Method: DFT, PBE
State: relaxed

Properties
DOS at the Fermi energy	1.0862	states/eV per atom
space-group type	No. 216
formation energy from the elements	-0.114	eV/atom

abc: 4.0516 4.0516 4.0516
angles: 60.00 60.00 60.00
Last column: nearest neighbours and their distance in Å.
Atoms (fractional coordinates):
Mn  0.0000  0.0000  0.0000  4 As 2.48, 4 V 2.48
V  0.2500  0.2500  0.2500  4 Mn 2.48, 4 Fe 2.48
Fe  0.5000  0.5000  0.5000  4 As 2.48, 4 V 2.48
As  0.7500  0.7500  0.7500  4 Fe 2.48, 4 Mn 2.48

Material: Be2TlSe
Method: DFT, PBE
State: relaxed

Properties
formation energy (no corrections)	1.15	eV/f.u.
DOS at the Fermi energy	0.2764	states/eV per atom
space-group type	No. 44
offset from the most stable computed form	0.247	eV/atom

abc: 7.9723 7.9723 7.9723
angles: 156.51 155.12 34.48
Last column: nearest neighbours and their distance in Å.
Atoms (fractional coordinates):
Be  0.0000  0.0000  0.0000  2 Be 2.14, 2 Se 2.38
Be  0.5842  0.0842  0.5000  2 Be 2.14
Tl  0.3722  0.3722  0.0000  4 Be 3.06, 2 Tl 3.25
Se  0.1139  0.6139  0.5000  6 Be 2.38-2.41

Material: KPtAu4
Method: DFT, PBE
State: relaxed

Properties
DOS at the Fermi energy	0.3561	states/eV per atom
space-group type	No. 216
formation energy from the elements	0.075	eV/atom

abc: 5.5775 5.5775 5.5775
angles: 60.00 60.00 60.00
Last column: nearest neighbours and their distance in Å.
Atoms (fractional coordinates):
K  0.0000  0.0000  0.0000  12 Au 3.27, 4 Pt 3.42
Pt  0.7500  0.7500  0.7500  12 Au 3.27, 4 K 3.42
Au  0.3752  0.3752  0.3752  6 Au 2.78-2.79
Au  0.3752  0.3752  0.8743  6 Au 2.78-2.79
Au  0.3752  0.8743  0.3752  6 Au 2.78-2.79
Au  0.8743  0.3752  0.3752  6 Au 2.78-2.79

Material: Tb3Co11B4
Method: DFT, PBE
State: relaxed

Properties
DOS at the Fermi energy	1.0306	states/eV per atom
space-group type	No. 191
formation energy from the elements	-0.363	eV/atom

abc: 5.0347 5.0347 9.7627
angles: 90.00 90.00 120.00
Last column: nearest neighbours and their distance in Å.
Atoms (fractional coordinates):
Tb  0.0000  0.0000  0.0000  18 Co 2.91-3.20
Tb  0.0000  0.0000  0.3419  12 Co 2.86-2.95, 6 B 2.91, 1 Tb 3.09
Tb  0.0000  0.0000  0.6581  12 Co 2.86-2.95, 6 B 2.91, 1 Tb 3.09
Co  0.0000  0.5000  0.2020  2 B 2.05
Co  0.0000  0.5000  0.5000  4 B 2.07
Co  0.0000  0.5000  0.7980  2 B 2.05
Co  0.3333  0.6667  0.0000  6 Co 2.45
Co  0.5000  0.0000  0.2020  2 B 2.05
Co  0.5000  0.0000  0.5000  4 B 2.07
Co  0.5000  0.0000  0.7980  2 B 2.05
Co  0.5000  0.5000  0.2020  2 B 2.05
Co  0.5000  0.5000  0.5000  4 B 2.07
Co  0.5000  0.5000  0.7980  2 B 2.05
Co  0.6667  0.3333  0.0000  6 Co 2.45
B  0.3333  0.6667  0.3496  6 Co 2.05-2.07
B  0.3333  0.6667  0.6504  6 Co 2.05-2.07
B  0.6667  0.3333  0.3496  6 Co 2.05-2.07
B  0.6667  0.3333  0.6504  6 Co 2.05-2.07